The following is a DFT calculation (GGA-PBE) of a relaxed RbAgBr2F8 crystal.

Structure (POSCAR):
```
RbAgBr2F8
1.0
5.819 -3.119 0.000
5.819 3.119 0.000
-2.513 0.000 6.592
Rb Ag Br F
1 1 2 8
Direct
0.000 0.000 0.000 Rb
0.500 0.500 0.500 Ag
0.236 0.236 0.681 Br
0.764 0.764 0.319 Br
0.238 0.238 0.948 F
0.242 0.242 0.414 F
0.269 0.711 0.689 F
0.289 0.731 0.311 F
0.711 0.269 0.689 F
0.731 0.289 0.311 F
0.758 0.758 0.586 F
0.762 0.762 0.052 F
```

Output
Formation energy (no corrections): -1162 meV per atom
Fermi-level density of states: 7.62 states/eV per cell
Symmetry: C2/m, No. 12

---

The following is a DFT calculation (GGA-PBE) of a relaxed Rb2AgBrF3 crystal.

Structure (POSCAR):
```
Rb2AgBrF3
1.0
4.488 0.000 0.000
0.000 5.084 0.000
0.000 0.000 15.045
Rb Ag Br F
4 2 2 6
Direct
0.000 0.000 0.163 Rb
0.000 0.000 0.837 Rb
0.500 0.500 0.337 Rb
0.500 0.500 0.663 Rb
0.000 0.000 0.500 Ag
0.500 0.500 0.000 Ag
0.000 0.500 0.500 Br
0.500 0.000 0.000 Br
0.000 0.000 0.341 F
0.000 0.000 0.659 F
0.000 0.500 0.000 F
0.500 0.000 0.500 F
0.500 0.500 0.159 F
0.500 0.500 0.841 F
```

Output
Formation energy (no corrections): -1748 meV per atom
Fermi-level density of states: 5.75 states/eV per cell
Symmetry: Immm, No. 71

---

The following is a DFT calculation (GGA-PBE) of a relaxed Ag3RhBr2F6 crystal.

Structure (POSCAR):
```
Ag3RhBr2F6
1.0
6.492 -3.333 0.000
6.492 3.333 0.000
-0.022 0.000 5.146
Ag Rh Br F
3 1 2 6
Direct
0.000 0.000 0.000 Ag
0.000 0.500 0.500 Ag
0.500 0.000 0.500 Ag
0.500 0.500 0.500 Rh
0.192 0.192 0.854 Br
0.808 0.808 0.146 Br
0.221 0.645 0.703 F
0.355 0.779 0.297 F
0.375 0.375 0.291 F
0.625 0.625 0.709 F
0.645 0.221 0.703 F
0.779 0.355 0.297 F
```

Output
Formation energy (no corrections): -1072 meV per atom
Fermi-level density of states: 11.68 states/eV per cell
Symmetry: C2/m, No. 12

---

The following is a DFT calculation (GGA-PBE) of a relaxed AgS2BrF crystal.

Structure (POSCAR):
```
AgS2BrF
1.0
4.100 0.000 0.000
0.000 4.100 0.000
0.000 0.000 7.929
Ag S Br F
1 2 1 1
Direct
0.000 0.000 0.000 Ag
0.000 0.500 0.500 S
0.500 0.000 0.500 S
0.500 0.500 0.000 Br
0.000 0.000 0.500 F
```

Output
Formation energy (no corrections): 493 meV per atom
Fermi-level density of states: 3.51 states/eV per cell
Symmetry: P4/mmm, No. 123

---

The following is a DFT calculation (GGA-PBE) of a relaxed Ag4SBrF crystal.

Structure (POSCAR):
```
Ag4SBrF
1.0
6.507 0.000 0.000
0.000 6.070 0.000
-2.885 0.000 7.309
Ag S Br F
8 2 2 2
Direct
0.096 0.014 0.203 Ag
0.096 0.486 0.203 Ag
0.230 0.250 0.570 Ag
0.351 0.750 0.947 Ag
0.649 0.250 0.053 Ag
0.770 0.750 0.430 Ag
0.904 0.514 0.797 Ag
0.904 0.986 0.797 Ag
0.230 0.250 0.988 S
0.770 0.750 0.012 S
0.205 0.750 0.568 Br
0.795 0.250 0.432 Br
0.412 0.750 0.267 F
0.588 0.250 0.733 F
```

Output
Formation energy (no corrections): -320 meV per atom
Fermi-level density of states: 3.52 states/eV per cell
Symmetry: P2_1/m, No. 11

---

The following is a DFT calculation (GGA-PBE) of a relaxed Ag7S2BrF2 crystal.

Structure (POSCAR):
```
Ag7S2BrF2
1.0
-2.348 11.093 2.328
2.348 -11.093 2.328
2.348 11.093 -2.328
Ag S Br F
7 2 1 2
Direct
0.000 0.000 0.000 Ag
0.294 0.442 0.852 Ag
0.457 0.174 0.282 Ag
0.590 0.442 0.148 Ag
0.712 0.303 0.409 Ag
0.892 0.174 0.718 Ag
0.894 0.303 0.591 Ag
0.058 0.944 0.115 S
0.829 0.944 0.885 S
0.388 0.888 0.500 Br
0.413 0.678 0.735 F
0.943 0.678 0.265 F
```

Output
Formation energy (no corrections): -389 meV per atom
Fermi-level density of states: 1.53 states/eV per cell
Symmetry: Imm2, No. 44

---

The following is a DFT calculation (GGA-PBE) of a relaxed Ag4SeBr2F crystal.

Structure (POSCAR):
```
Ag4SeBr2F
1.0
-3.809 4.011 5.653
3.809 -4.011 5.653
3.809 4.011 -5.653
Ag Se Br F
8 2 4 2
Direct
0.249 0.235 0.014 Ag
0.262 0.235 0.474 Ag
0.262 0.788 0.026 Ag
0.280 0.765 0.514 Ag
0.720 0.235 0.486 Ag
0.738 0.212 0.974 Ag
0.738 0.765 0.526 Ag
0.751 0.765 0.986 Ag
0.500 0.000 0.000 Se
0.500 0.500 0.500 Se
0.000 0.000 0.500 Br
0.000 0.500 0.000 Br
0.000 0.500 0.500 Br
0.500 0.500 0.000 Br
0.000 0.000 0.000 F
0.500 0.000 0.500 F
```

Output
Formation energy (no corrections): -372 meV per atom
Fermi-level density of states: 8.47 states/eV per cell
Symmetry: Imma, No. 74

---

The following is a DFT calculation (GGA-PBE) of a relaxed AgSe2BrF crystal.

Structure (POSCAR):
```
AgSe2BrF
1.0
4.286 0.000 0.000
0.000 4.286 0.000
0.000 0.000 7.341
Ag Se Br F
1 2 1 1
Direct
0.000 0.000 0.000 Ag
0.000 0.500 0.500 Se
0.500 0.000 0.500 Se
0.500 0.500 0.000 Br
0.500 0.500 0.500 F
```

Output
Formation energy (no corrections): 212 meV per atom
Fermi-level density of states: 5.03 states/eV per cell
Polymorph energy (0 for the lowest one): 0 meV/atom
Symmetry: P4/mmm, No. 123

---

Q: What is the formation energy (no corrections) in the seventh record?
A: -372 meV per atom